[1]
Entry from Alexandria via LeMat-Bulk: a relaxed structure of Sm2TmGa (PBE).

a b c (Å): 7.5882 7.5882 7.5882
angles (deg): 90.00 90.00 90.00
Sites, in units of the cell vectors:
Sm  0.2500  0.2500  0.2500
Sm  0.2500  0.2500  0.7500
Sm  0.2500  0.7500  0.2500
Sm  0.2500  0.7500  0.7500
Sm  0.7500  0.2500  0.2500
Sm  0.7500  0.2500  0.7500
Sm  0.7500  0.7500  0.2500
Sm  0.7500  0.7500  0.7500
Tm  0.0000  0.0000  0.0000
Tm  0.0000  0.5000  0.5000
Tm  0.5000  0.0000  0.5000
Tm  0.5000  0.5000  0.0000
Ga  0.0000  0.0000  0.5000
Ga  0.0000  0.5000  0.0000
Ga  0.5000  0.0000  0.0000
Ga  0.5000  0.5000  0.5000

As for the space group: Fm-3m, No. 225. The value obtained for the total magnetization is 0.0 Bohr magnetons per cell. As for the energy above the most stable polymorph in this dataset: 158 meV/atom.

[2]
Entry from Alexandria via LeMat-Bulk: a relaxed structure of Sm2Tm3Ga4 (PBE).

a b c (Å): 7.8876 7.9081 7.5142
angles (deg): 90.00 107.02 90.00
Sites, in units of the cell vectors:
Sm  0.1922  0.1809  0.0748
Sm  0.1922  0.3191  0.5748
Sm  0.8078  0.6809  0.4252
Sm  0.8078  0.8191  0.9252
Tm  0.2420  0.6755  0.2504
Tm  0.2420  0.8245  0.7504
Tm  0.5000  0.0000  0.5000
Tm  0.5000  0.5000  0.0000
Tm  0.7580  0.1755  0.2496
Tm  0.7580  0.3245  0.7496
Ga  0.0804  0.5297  0.8662
Ga  0.0804  0.9703  0.3662
Ga  0.4936  0.1206  0.8768
Ga  0.4936  0.3794  0.3768
Ga  0.5064  0.6206  0.6232
Ga  0.5064  0.8794  0.1232
Ga  0.9196  0.0297  0.6338
Ga  0.9196  0.4703  0.1338

As for the space group: P2_1/c, No. 14. The value obtained for the total magnetization is 0.0 Bohr magnetons per cell. As for the energy above the most stable polymorph in this dataset: 0 meV/atom.

[3]
Entry from Alexandria via LeMat-Bulk: a relaxed structure of SmTm3Ga2 (PBE).

a b c (Å): 4.8815 9.4396 6.5997
angles (deg): 90.00 90.00 90.00
Sites, in units of the cell vectors:
Sm  0.0000  0.0495  0.0000
Sm  0.0000  0.9505  0.5000
Tm  0.0000  0.3228  0.6255
Tm  0.0000  0.6772  0.1255
Tm  0.5000  0.1889  0.2921
Tm  0.5000  0.4472  0.9207
Tm  0.5000  0.5528  0.4207
Tm  0.5000  0.8111  0.7921
Ga  0.0000  0.3642  0.1718
Ga  0.0000  0.6358  0.6718
Ga  0.5000  0.1391  0.7436
Ga  0.5000  0.8609  0.2436

As for the space group: Pmc2_1, No. 26. The value obtained for the total magnetization is 0.0 Bohr magnetons per cell. As for the energy above the most stable polymorph in this dataset: 0 meV/atom.

[4]
Entry from Alexandria via LeMat-Bulk: a relaxed structure of Sm5TmGa6 (PBE).

a b c (Å): 8.1148 8.1148 7.2500
angles (deg): 90.00 90.00 143.16
Sites, in units of the cell vectors:
Sm  0.0000  0.0000  0.0000
Sm  0.3308  0.6692  0.0000
Sm  0.3342  0.6658  0.5000
Sm  0.6658  0.3342  0.5000
Sm  0.6692  0.3308  0.0000
Tm  0.0000  0.0000  0.5000
Ga  0.1637  0.8363  0.2550
Ga  0.1637  0.8363  0.7450
Ga  0.5000  0.5000  0.2536
Ga  0.5000  0.5000  0.7464
Ga  0.8363  0.1637  0.2550
Ga  0.8363  0.1637  0.7450

As for the space group: Cmmm, No. 65. The value obtained for the total magnetization is 0.0 Bohr magnetons per cell.

[5]
Entry from Alexandria via LeMat-Bulk: a relaxed structure of Sm2TmGa (PBE).

a b c (Å): 3.6535 12.8216 9.7906
angles (deg): 90.00 90.00 90.00
Sites, in units of the cell vectors:
Sm  0.0000  0.1344  0.0500
Sm  0.0000  0.1344  0.4500
Sm  0.0000  0.8656  0.5500
Sm  0.0000  0.8656  0.9500
Sm  0.5000  0.3656  0.5500
Sm  0.5000  0.3656  0.9500
Sm  0.5000  0.6344  0.0500
Sm  0.5000  0.6344  0.4500
Tm  0.0000  0.4438  0.2500
Tm  0.0000  0.5562  0.7500
Tm  0.5000  0.0562  0.7500
Tm  0.5000  0.9438  0.2500
Ga  0.0000  0.2403  0.7500
Ga  0.0000  0.7597  0.2500
Ga  0.5000  0.2597  0.2500
Ga  0.5000  0.7403  0.7500

As for the space group: Cmcm, No. 63. The value obtained for the total magnetization is 0.0 Bohr magnetons per cell. As for the energy above the most stable polymorph in this dataset: 0 meV/atom.

[6]
Entry from Alexandria via LeMat-Bulk: a relaxed structure of SmTmGa3 (PBE).

a b c (Å): 12.9333 12.9333 4.1781
angles (deg): 90.00 90.00 161.22
Sites, in units of the cell vectors:
Sm  0.0737  0.9263  0.7500
Sm  0.9263  0.0737  0.2500
Tm  0.2042  0.7958  0.2500
Tm  0.7958  0.2042  0.7500
Ga  0.3219  0.6781  0.2500
Ga  0.3790  0.6210  0.7500
Ga  0.4757  0.5243  0.7500
Ga  0.5243  0.4757  0.2500
Ga  0.6210  0.3790  0.2500
Ga  0.6781  0.3219  0.7500

As for the space group: Cmcm, No. 63. The value obtained for the total magnetization is 0.0 Bohr magnetons per cell.

[7]
Entry from Alexandria via LeMat-Bulk: a relaxed structure of SmTm4Ga4 (PBE).

a b c (Å): 9.1040 9.1040 5.8271
angles (deg): 90.00 90.00 90.00
Sites, in units of the cell vectors:
Sm  0.2500  0.2500  0.2500
Sm  0.7500  0.7500  0.7500
Tm  0.0774  0.6548  0.1304
Tm  0.1548  0.9226  0.6304
Tm  0.3452  0.5774  0.6304
Tm  0.4226  0.8452  0.1304
Tm  0.5774  0.1548  0.8696
Tm  0.6548  0.4226  0.3696
Tm  0.8452  0.0774  0.3696
Tm  0.9226  0.3452  0.8696
Ga  0.0288  0.6130  0.6253
Ga  0.1130  0.9712  0.1253
Ga  0.3870  0.5288  0.1253
Ga  0.4712  0.8870  0.6253
Ga  0.5288  0.1130  0.3747
Ga  0.6130  0.4712  0.8747
Ga  0.8870  0.0288  0.8747
Ga  0.9712  0.3870  0.3747

As for the space group: P4_2/n, No. 86. The value obtained for the total magnetization is 0.0 Bohr magnetons per cell.

[8]
Entry from Alexandria via LeMat-Bulk: a relaxed structure of SmTm2Ga9 (PBE).

a b c (Å): 4.2733 4.2733 12.7926
angles (deg): 90.00 90.00 90.00
Sites, in units of the cell vectors:
Sm  0.0000  0.0000  0.0000
Tm  0.0000  0.0000  0.3357
Tm  0.0000  0.0000  0.6643
Ga  0.0000  0.5000  0.1715
Ga  0.0000  0.5000  0.5000
Ga  0.0000  0.5000  0.8285
Ga  0.5000  0.0000  0.1715
Ga  0.5000  0.0000  0.5000
Ga  0.5000  0.0000  0.8285
Ga  0.5000  0.5000  0.0000
Ga  0.5000  0.5000  0.3338
Ga  0.5000  0.5000  0.6662

As for the space group: P4/mmm, No. 123. The value obtained for the total magnetization is 0.0 Bohr magnetons per cell.

Number 1: formation energy -0.107 eV/atom. Number 2: formation energy -0.589 eV/atom. Number 3: formation energy -0.424 eV/atom. Number 4: formation energy -0.570 eV/atom. Number 5: formation energy -0.264 eV/atom. Number 6: formation energy -0.654 eV/atom. Number 7: formation energy -0.344 eV/atom. Number 8: formation energy -0.521 eV/atom.